First-principles (PBE) data for an optimized crystal structure of CoSbTe2W, as listed in Alexandria via LeMat-Bulk.

Raw formation energy (meV/atom): 1213
Density of states at the Fermi level (states/eV/cell): 8.34

Unit cell a=5.2725 b=5.2725 c=5.2837 alpha=90.00 beta=90.00 gamma=90.00
Last column: nearest neighbours and their distance in Å.
Atoms (fractional coordinates):
Te (0.5000, 0.0000, 0.0000)  2 W 2.64
Te (0.0000, 0.5000, 0.0000)  2 W 2.64
W (0.0000, 0.0000, 0.0000)  4 Te 2.64, 2 Sb 2.64
Sb (0.0000, 0.0000, 0.5000)  2 W 2.64
Co (0.5000, 0.5000, 0.5000)  4 Sb 3.73, 8 Te 3.73

---

First-principles (PBE) data for an optimized crystal structure of YCoSb2Te, as listed in Alexandria via LeMat-Bulk.

Raw formation energy (meV/atom): 893
Density of states at the Fermi level (states/eV/cell): 11.50

Unit cell a=5.7829 b=5.7829 c=5.7361 alpha=90.00 beta=90.00 gamma=90.00
Last column: nearest neighbours and their distance in Å.
Atoms (fractional coordinates):
Sb (0.5000, 0.0000, 0.0000)  2 Y 2.89
Sb (0.0000, 0.5000, 0.0000)  2 Y 2.89
Te (0.0000, 0.0000, 0.5000)  2 Y 2.87
Y (0.0000, 0.0000, 0.0000)  2 Te 2.87, 4 Sb 2.89
Co (0.5000, 0.5000, 0.5000)  8 Sb 4.07, 4 Te 4.09

---

First-principles (PBE) data for an optimized crystal structure of YCoSb2Te, as listed in Alexandria via LeMat-Bulk.

Raw formation energy (meV/atom): -86
Density of states at the Fermi level (states/eV/cell): 5.47

Unit cell a=4.8414 b=4.8414 c=5.5247 alpha=90.00 beta=90.00 gamma=90.00
Last column: nearest neighbours and their distance in Å.
Atoms (fractional coordinates):
Sb (0.0000, 0.5000, 0.0000)  2 Co 2.42
Sb (0.5000, 0.0000, 0.0000)  2 Co 2.42
Te (0.0000, 0.0000, 0.5000)  2 Co 2.76
Co (0.0000, 0.0000, 0.0000)  4 Sb 2.42
Y (0.5000, 0.5000, 0.5000)  4 Te 3.42, 8 Sb 3.67

---

| no. | E above lowest polymorph (eV/atom) |
| --- | --- |
| 1 | 0.075 |
| 2 | 0.979 |
| 3 | 0.000 |